{"formula": "HgIrOs2", "functional": "GGA-PBE", "state": "relaxed", "magmom_total_mub_per_fu": 0.00, "formation_enthalpy_0k_ev_per_fu": 2.50, "sg": "C2/m, No. 12", "energy_ev_per_atom": -7.282, "lattice_angstrom": [[4.8411, 0.0028, -0.0010], [4.0281, 2.6852, -0.0010], [0.8026, 0.2432, 4.8944]], "species": ["Ir", "Hg", "Os", "Os"], "frac_coords": [[0.2500, 0.2500, 0.2500], [0.7500, 0.7500, 0.7500], [0.9887, 0.9887, 0.0288], [0.5113, 0.5113, 0.4712]]}

---

{"formula": "Hg3IrOs", "functional": "GGA-PBE", "state": "relaxed", "magmom_total_mub_per_fu": 3.97, "formation_enthalpy_0k_ev_per_fu": 8.38, "sg": "Pm-3m, No. 221", "energy_ev_per_atom": -2.524, "polymorph_energy_mev_per_atom": 0, "lattice_angstrom": [[5.1967, 0.0000, 0.0000], [0.0000, 5.1967, 0.0000], [0.0000, 0.0000, 5.1967]], "species": ["Hg", "Hg", "Hg", "Os", "Ir"], "frac_coords": [[0.0000, 0.5000, 0.0000], [0.0000, 0.0000, 0.5000], [0.5000, 0.0000, 0.0000], [0.5000, 0.5000, 0.5000], [0.0000, 0.0000, 0.0000]]}

---

{"formula": "HgIrOs2", "functional": "GGA-PBE", "state": "relaxed", "magmom_total_mub_per_fu": 0.00, "formation_enthalpy_0k_ev_per_fu": 2.38, "sg": "P4/mmm, No. 123", "energy_ev_per_atom": -7.311, "lattice_angstrom": [[-1.0725, 2.2357, 1.2712], [-1.1588, -1.6497, 1.9236], [6.7359, 0.6213, 4.5906]], "species": ["Hg", "Os", "Os", "Ir"], "frac_coords": [[0.5000, 0.5000, 0.2500], [0.0000, 0.0000, 0.9763], [0.0000, 0.0000, 0.5237], [0.5000, 0.5000, 0.7500]]}

---

{"formula": "HgIrOs2", "functional": "GGA-PBE", "state": "relaxed", "magmom_total_mub_per_fu": 0.00, "formation_enthalpy_0k_ev_per_fu": 2.08, "sg": "R-3m, No. 166", "energy_ev_per_atom": -7.387, "lattice_angstrom": [[-1.0946, -6.4304, -6.9694], [1.2507, -7.4401, -5.8483], [-1.2254, -8.1655, -4.7901]], "species": ["Os", "Os", "Hg", "Ir"], "frac_coords": [[0.4933, 0.4933, 0.4933], [0.0067, 0.0067, 0.0067], [0.2500, 0.2500, 0.2500], [0.7500, 0.7500, 0.7500]]}